DFT (GGA+U) results for a geometry-optimized HoTmWO6 structure.

Lattice parameters (Å, degrees): 5.4758 5.4758 9.4678 90.00 90.00 120.00
Space group P-31c (No. 163)
Inequivalent atoms, fractional coordinates:
Ho 0.0000 0.0000 0.0000
Tm 0.3333 0.6667 0.2500
W 0.3333 0.6667 0.7500
O 0.0369 0.3674 0.6353

## Properties
Density = 8.29 Mg/m³
Uncorrected energy = -144.99 eV/cell